(1)
First-principles (GGA-PBE) data for an optimized crystal structure of HoPuInPb, as listed in Alexandria.

a b c (Å): 5.388 5.388 5.388
angles (deg): 60.00 60.00 60.00
Site moments in Bohr magnetons follow the coordinates.
Fractional coordinates of all 4 atoms:
Pb 0.750 0.750 0.750  -0.02
In 0.250 0.250 0.250  0.00
Ho 0.500 0.500 0.500  0.25
Pu 0.000 0.000 0.000  5.50

Its space group is No. 216. The value obtained for the total DFT energy (no corrections) is -26.319 eV/f.u. As for the formation energy: -0.2407 eV per atom.

(2)
First-principles (GGA-PBE) data for an optimized crystal structure of K4Tl3RuO8, as listed in Alexandria.

a b c (Å): 6.975 7.284 6.975
angles (deg): 118.61 120.00 90.00
Site moments in Bohr magnetons follow the coordinates.
Fractional coordinates of all 16 atoms:
K 0.500 0.000 0.000  0.00
K 0.500 0.000 0.500  0.00
K 0.000 0.000 0.000  0.00
K 0.000 0.000 0.500  0.00
Tl 0.500 0.500 0.000  -0.02
Tl 0.500 0.500 0.500  -0.02
Tl 0.000 0.500 0.500  -0.02
Ru 0.000 0.500 0.000  0.96
O 0.204 0.683 0.978  0.02
O 0.204 0.682 0.409  0.02
O 0.266 0.297 0.531  -0.02
O 0.774 0.683 0.978  0.02
O 0.226 0.317 0.022  0.02
O 0.734 0.703 0.469  -0.02
O 0.796 0.318 0.591  0.02
O 0.796 0.317 0.022  0.02

As for the raw formation energy: -1.051 eV per atom. Its space group is No. 166. The value obtained for the total DFT energy (no corrections) is -77.247 eV/f.u.

(3)
First-principles (GGA-PBE) data for an optimized crystal structure of KRu2Pt, as listed in Alexandria.

a b c (Å): 4.805 4.805 4.805
angles (deg): 127.19 127.19 77.94
Fractional coordinates of all 4 atoms:
K 0.500 0.500 0.000
Pt 0.750 0.250 0.500
Ru 0.000 0.000 0.000
Ru 0.250 0.750 0.500

Its space group is No. 119. The value obtained for the total DFT energy (no corrections) is -21.168 eV/f.u. As for the formation energy: 1.1306 eV per atom. The calculation puts the offset from the most stable computed form at 268 kJ/mol of formula units.

(4)
First-principles (GGA-PBE) data for an optimized crystal structure of Cd2RePb, as listed in Alexandria.

a b c (Å): 5.709 5.709 5.411
angles (deg): 77.68 77.68 29.73
Fractional coordinates of all 4 atoms:
Pb 0.531 0.531 0.436
Re 0.273 0.273 0.294
Cd 0.965 0.965 0.965
Cd 0.730 0.730 0.805

Its space group is No. 8. The value obtained for the total DFT energy (no corrections) is -15.291 eV/f.u. As for the formation energy: 0.6739 eV per atom.